(1)
Entry from Alexandria via LeMat-Bulk: a relaxed structure of BeSbTe2 (GGA-PBEsol).

Lattice parameters (Å, degrees): 5.094 5.094 5.094 60.00 60.00 60.00
Positions (direct):
Te: 0.250 0.250 0.250
Te: 0.750 0.750 0.750
Be: 0.000 0.000 0.000
Sb: 0.500 0.500 0.500

Summary:
Total magnetic moment ... 0.00 μB/f.u.
SG ... Fm-3m, No. 225
Raw formation energy ... 0.514 eV/atom
V ... 93.48 Å³/cell
Distance to the lowest polymorph of the same formula ... 1.741 eV/f.u.

=====

(2)
Entry from Alexandria via LeMat-Bulk: a relaxed structure of YPt2 (GGA-PBEsol).

Lattice parameters (Å, degrees): 5.364 5.364 5.364 60.00 60.00 60.00
Positions (direct):
Pt: 0.125 0.125 0.625
Pt: 0.625 0.125 0.125
Pt: 0.125 0.625 0.125
Pt: 0.125 0.125 0.125
Y: 0.500 0.500 0.500
Y: 0.750 0.750 0.750

Summary:
Total magnetic moment ... 0.00 μB/f.u.
SG ... Fd-3m, No. 227
V ... 109.13 Å³/cell
E_form ... -1.107 eV per atom